1.
A PBEsol-optimized structure of BaCo2Au. Source: Alexandria, functional meta-GGA SCAN.

Cell: 4.6419 4.6562 4.6419 Å, 119.90 90.00 119.90°
Last column: magnetic moment on the atom in μB.
Positions (direct):
Co1 0.2500 0.5000 0.7500  1.68
Ba1 0.0000 0.0000 0.0000  -0.05
Co2 0.7500 0.5000 0.2500  1.68
Au1 0.5000 0.0000 0.5000  0.03

***

2.
A PBEsol-optimized structure of Ba3CoAu. Source: Alexandria, functional meta-GGA SCAN.

Cell: 5.5677 5.5677 5.5677 Å, 90.00 90.00 90.00°
Positions (direct):
Au1 0.5000 0.5000 0.5000
Ba1 0.0000 0.5000 0.0000
Co1 0.0000 0.0000 0.0000
Ba2 0.0000 0.0000 0.5000
Ba3 0.5000 0.0000 0.0000

***

| no. | energy of formation (eV/atom) |
| --- | --- |
| 1 | 0.8494 |
| 2 | 0.1728 |